Compound: K3ErCr2O8
Source: Alexandria
Functional: PBE with a Hubbard U
Structure: optimized geometry

Cell lengths 5.939, 5.939, 7.647 Å; angles 90.00, 90.00, 120.00 degrees
Atoms (fractional coordinates):
K  0.000  0.000  0.000
K  0.333  0.667  0.684
K  0.667  0.333  0.316
Er  0.000  0.000  0.500
Cr  0.333  0.667  0.243
Cr  0.667  0.333  0.757
O  0.175  0.350  0.327
O  0.175  0.825  0.327
O  0.333  0.667  0.025
O  0.350  0.175  0.673
O  0.650  0.825  0.327
O  0.667  0.333  0.975
O  0.825  0.175  0.673
O  0.825  0.650  0.673

Results
E in eV/atom: -6.4322
Total magnetization in μB/f.u.: 2.0